Here is an optimized crystal structure of ZnHPd3 from the Open Quantum Materials Database. Energies are from PBE-GGA.

Unit cell a=3.9729 b=3.9729 c=3.9729 alpha=90.00 beta=90.00 gamma=90.00
Last column: nearest neighbours and their distance in Å.
Fractional coordinates of all 5 atoms:
Zn (0.0000, 0.0000, 0.0000)  12 Pd 2.81
H (0.5000, 0.5000, 0.5000)  6 Pd 1.99
Pd (0.0000, 0.5000, 0.5000)  2 H 1.99
Pd (0.5000, 0.0000, 0.5000)  2 H 1.99
Pd (0.5000, 0.5000, 0.0000)  2 H 1.99

Computed properties:
SG	No. 221
crystal system	cubic

---

Here is an optimized crystal structure of ZnHPd3 from the Open Quantum Materials Database. Energies are from PBE-GGA.

Unit cell a=5.6196 b=5.6196 c=5.6196 alpha=119.96 beta=90.27 gamma=119.73
Last column: nearest neighbours and their distance in Å.
Fractional coordinates of all 10 atoms:
Zn (0.2500, 0.0000, 0.2500)  12 Pd 2.68-2.96
Zn (0.7500, 0.0000, 0.7500)  12 Pd 2.68-2.96
H (0.0000, 0.5000, 0.5000)  6 Pd 1.99
H (0.5000, 0.5000, 0.0000)  6 Pd 1.99
Pd (0.2374, 0.0000, 0.7374)  2 H 1.99
Pd (0.2374, 0.5000, 0.2374)  2 H 1.99
Pd (0.2750, 0.5250, 0.7500)  2 H 1.99
Pd (0.7250, 0.4750, 0.2500)  2 H 1.99
Pd (0.7626, 0.0000, 0.2626)  2 H 1.99
Pd (0.7626, 0.5000, 0.7626)  2 H 1.99

Computed properties:
SG	No. 74
crystal system	orthorhombic

---

Here is an optimized crystal structure of ZnHPd3 from the Open Quantum Materials Database. Energies are from PBE-GGA.

Unit cell a=3.9700 b=3.9700 c=3.9896 alpha=90.00 beta=90.00 gamma=90.00
Last column: nearest neighbours and their distance in Å.
Fractional coordinates of all 5 atoms:
Zn (0.0000, 0.0000, 0.0000)  12 Pd 2.81
H (0.5000, 0.5000, 0.5000)  6 Pd 1.98-1.99
Pd (0.0000, 0.5000, 0.5000)  2 H 1.98
Pd (0.5000, 0.0000, 0.5000)  2 H 1.98
Pd (0.5000, 0.5000, 0.0000)  2 H 1.99

Computed properties:
SG	No. 123
crystal system	tetragonal

---

| no. | V (Å³/cell) | DFT total energy (eV/atom) |
| --- | --- | --- |
| 1 | 62.71 | -4.35 |
| 2 | 125.78 | -4.35 |
| 3 | 62.88 | -4.35 |